Record 1
{
  "formula": "SiRh2",
  "functional": "GGA-PBE",
  "state": "optimized geometry",
  "lattice": [[-1.424, 1.424, 10.384], [1.424, -1.424, 10.384], [1.424, 1.424, -10.384]],
  "species": ["Si", "Si", "Rh", "Rh", "Rh", "Rh"],
  "frac_coords": [[0.375, 0.625, 0.750], [0.625, 0.375, 0.250], [0.057, 0.807, 0.250], [0.193, 0.943, 0.250], [0.807, 0.057, 0.750], [0.943, 0.193, 0.750]],
  "crystal_system": "tetragonal",
  "dft_energy_ry_per_atom": -0.5327,
  "total_magnetization_mub_per_cell": 0.00,
  "vol_a3_per_atom": 14.04,
  "formation_energy_uncorrected_kj_per_mol_atoms": -52
}

***

Record 2
{
  "formula": "BiBCl3",
  "functional": "GGA-PBE",
  "state": "optimized geometry",
  "lattice": [[5.484, 0.000, 0.000], [0.000, 5.484, 0.000], [0.000, 0.000, 5.484]],
  "species": ["Bi", "B", "Cl", "Cl", "Cl"],
  "frac_coords": [[0.000, 0.000, 0.000], [0.500, 0.500, 0.500], [0.000, 0.000, 0.500], [0.000, 0.500, 0.000], [0.500, 0.000, 0.000]],
  "crystal_system": "cubic",
  "dft_energy_ry_per_atom": -0.2020,
  "relative_energy_mev_per_atom": 116,
  "total_magnetization_mub_per_cell": 0.77,
  "vol_a3_per_atom": 32.99,
  "formation_energy_uncorrected_kj_per_mol_atoms": 45
}

***

Record 3
{
  "formula": "BaNaH2Cl",
  "functional": "GGA-PBE",
  "state": "optimized geometry",
  "lattice": [[2.096, -6.196, 0.000], [2.096, 6.196, 0.000], [0.000, 0.000, 7.824]],
  "species": ["Ba", "Ba", "Na", "Na", "H", "H", "H", "H", "Cl", "Cl"],
  "frac_coords": [[0.233, 0.767, 0.750], [0.767, 0.233, 0.250], [0.500, 0.500, 0.000], [0.500, 0.500, 0.500], [0.328, 0.672, 0.060], [0.328, 0.672, 0.440], [0.672, 0.328, 0.560], [0.672, 0.328, 0.940], [0.046, 0.954, 0.250], [0.954, 0.046, 0.750]],
  "crystal_system": "orthorhombic",
  "dft_energy_ry_per_atom": -0.2484,
  "total_magnetization_mub_per_cell": 0.00,
  "vol_a3_per_atom": 20.32
}

***

Record 4
{
  "formula": "CaBiSCl2",
  "functional": "GGA-PBE",
  "state": "optimized geometry",
  "lattice": [[5.461, 0.000, 0.000], [0.000, 5.461, 0.000], [0.000, 0.000, 5.475]],
  "species": ["Ca", "Bi", "S", "Cl", "Cl"],
  "frac_coords": [[0.000, 0.000, 0.000], [0.500, 0.500, 0.500], [0.500, 0.500, 0.000], [0.000, 0.500, 0.500], [0.500, 0.000, 0.500]],
  "crystal_system": "tetragonal",
  "dft_energy_ry_per_atom": -0.2514,
  "relative_energy_mev_per_atom": 199,
  "total_magnetization_mub_per_cell": 0.00,
  "vol_a3_per_atom": 32.65,
  "formation_energy_uncorrected_kj_per_mol_atoms": -66
}

***

Record 5
{
  "formula": "Ti2BeSnH",
  "functional": "GGA-PBE",
  "state": "optimized geometry",
  "lattice": [[3.961, 0.000, 0.000], [0.000, 3.961, 0.000], [0.000, 0.000, 4.177]],
  "species": ["Ti", "Ti", "Be", "Sn", "H"],
  "frac_coords": [[0.000, 0.500, 0.000], [0.500, 0.000, 0.000], [0.000, 0.000, 0.500], [0.500, 0.500, 0.500], [0.000, 0.000, 0.000]],
  "crystal_system": "tetragonal",
  "dft_energy_ry_per_atom": -0.4105,
  "total_magnetization_mub_per_cell": 0.00,
  "vol_a3_per_atom": 13.11
}

***

Record 6
{
  "formula": "LiBiPtRh",
  "functional": "GGA-PBE",
  "state": "optimized geometry",
  "lattice": [[0.000, 3.238, 3.238], [3.238, 0.000, 3.238], [3.238, 3.238, 0.000]],
  "species": ["Li", "Bi", "Pt", "Rh"],
  "frac_coords": [[0.000, 0.000, 0.000], [0.500, 0.500, 0.500], [0.750, 0.750, 0.750], [0.250, 0.250, 0.250]],
  "crystal_system": "cubic",
  "dft_energy_ry_per_atom": -0.3710,
  "relative_energy_mev_per_atom": 77,
  "total_magnetization_mub_per_cell": 0.04,
  "vol_a3_per_atom": 16.97,
  "formation_energy_ev_per_atom": -0.251
}

***

> Which formula does entry 5 have?

Ti2BeSnH